(1)
Computed, not measured: Er2SnTe after structural relaxation at the GGA-PBE level of DFT.

Calculated values
V, Å³ per cell: 117.7
Symmetry: R-3m, No. 166
Energy relative to the lowest polymorph listed for this composition, kJ/mol of formula units: 7
ΔE_f (raw), eV per atom: -0.997
Spin magnetization, Bohr magnetons per cell: 0.00

abc: 4.3575 4.3575 7.5852
angles: 73.31 73.31 60.00
Positions (direct):
1 Te 0.5000 0.5000 0.5000
2 Sn 0.0000 0.0000 0.0000
3 Er 0.2549 0.2549 0.2353
4 Er 0.7451 0.7451 0.7647

(2)
Computed, not measured: Er2SnTe after structural relaxation at the GGA-PBE level of DFT.

Calculated values
V, Å³ per cell: 466.2
Symmetry: I4_1/amd, No. 141
Energy relative to the lowest polymorph listed for this composition, kJ/mol of formula units: 0
ΔE_f (raw), eV per atom: -1.016
Spin magnetization, Bohr magnetons per cell: 0.00

abc: 6.1465 6.1470 12.3380
angles: 90.00 90.00 90.00
Positions (direct):
1 Er 0.7504 0.0001 0.8791
2 Er 0.2496 0.9999 0.1209
3 Er 0.7504 0.4999 0.6209
4 Er 0.2496 0.5001 0.3791
5 Er 0.7496 0.4997 0.1289
6 Er 0.2504 0.5003 0.8711
7 Er 0.7496 0.0003 0.3711
8 Er 0.2504 0.9997 0.6289
9 Sn 0.2503 0.4998 0.6251
10 Sn 0.7497 0.5002 0.3749
11 Sn 0.2503 0.0002 0.8749
12 Sn 0.7497 0.9998 0.1251
13 Te 0.2497 0.0001 0.3749
14 Te 0.7503 0.9999 0.6251
15 Te 0.2497 0.4999 0.1251
16 Te 0.7503 0.5001 0.8749

(3)
Computed, not measured: Er6SnTe3 after structural relaxation at the GGA-PBE level of DFT.

Calculated values
V, Å³ per cell: 591.6
Symmetry: P2_1/m, No. 11
ΔE_f (raw), eV per atom: -0.839
Spin magnetization, Bohr magnetons per cell: 0.02

abc: 4.0997 11.9743 12.4349
angles: 104.28 90.00 90.00
Positions (direct):
1 Er 0.7500 0.4860 0.6466
2 Er 0.2500 0.5140 0.3534
3 Er 0.7500 0.9500 0.1252
4 Er 0.2500 0.0500 0.8748
5 Er 0.7500 0.4213 0.1194
6 Er 0.2500 0.5787 0.8806
7 Er 0.7500 0.7551 0.2981
8 Er 0.2500 0.2449 0.7019
9 Er 0.7500 0.1159 0.4594
10 Er 0.2500 0.8841 0.5406
11 Er 0.7500 0.7896 0.7624
12 Er 0.2500 0.2104 0.2376
13 Sn 0.7500 0.0440 0.6881
14 Sn 0.2500 0.9560 0.3119
15 Te 0.7500 0.3869 0.8606
16 Te 0.2500 0.6131 0.1394
17 Te 0.7500 0.6737 0.5116
18 Te 0.2500 0.3263 0.4884
19 Te 0.7500 0.1639 0.0470
20 Te 0.2500 0.8361 0.9530

(4)
Computed, not measured: Er5Sn2Te after structural relaxation at the GGA-PBE level of DFT.

Calculated values
V, Å³ per cell: 470.8
Symmetry: Cmcm, No. 63
ΔE_f (raw), eV per atom: -0.465
Spin magnetization, Bohr magnetons per cell: 0.00

abc: 5.9352 5.6676 16.4271
angles: 90.00 90.00 121.57
Positions (direct):
1 Er 0.9241 0.8481 0.9033
2 Er 0.9241 0.8481 0.5967
3 Er 0.4240 0.8480 0.4034
4 Er 0.4240 0.8480 0.0966
5 Er 0.7485 0.4969 0.2500
6 Er 0.2515 0.5031 0.7500
7 Er 0.5760 0.1520 0.5966
8 Er 0.5760 0.1520 0.9034
9 Er 0.0759 0.1519 0.0967
10 Er 0.0759 0.1519 0.4033
11 Sn 0.7501 0.5003 0.4336
12 Sn 0.7501 0.5003 0.0664
13 Sn 0.2499 0.4997 0.5664
14 Sn 0.2499 0.4997 0.9336
15 Te 0.7497 0.4993 0.7500
16 Te 0.2503 0.5007 0.2500

(5)
Computed, not measured: Er7Sn2Te2 after structural relaxation at the GGA-PBE level of DFT.

Calculated values
V, Å³ per cell: 331.3
Symmetry: Cmmm, No. 65
ΔE_f (raw), eV per atom: -0.387
Spin magnetization, Bohr magnetons per cell: 0.00

abc: 6.9006 7.1547 6.9006
angles: 90.00 103.47 90.00
Positions (direct):
1 Er 0.9998 0.2779 0.5003
2 Er 0.5003 0.7221 0.9998
3 Er 0.0002 0.7221 0.4997
4 Er 0.4997 0.2779 0.0002
5 Er 0.0000 0.0000 0.0000
6 Er 0.5002 0.7354 0.4998
7 Er 0.4998 0.2646 0.5002
8 Sn 0.8194 0.5000 0.8194
9 Sn 0.1806 0.5000 0.1806
10 Te 0.7212 0.0000 0.2788
11 Te 0.2788 0.0000 0.7212

(6)
Computed, not measured: Er5Sn2Te2 after structural relaxation at the GGA-PBE level of DFT.

Calculated values
V, Å³ per cell: 493.5
Symmetry: Cmce, No. 64
Energy relative to the lowest polymorph listed for this composition, kJ/mol of formula units: 0
ΔE_f (raw), eV per atom: -0.927
Spin magnetization, Bohr magnetons per cell: 0.01

abc: 8.0608 8.0058 8.6316
angles: 117.63 90.00 90.00
Positions (direct):
1 Er 0.0000 0.0000 0.0000
2 Er 0.5000 0.5000 0.0000
3 Er 0.8370 0.7976 0.2677
4 Er 0.1630 0.4701 0.2677
5 Er 0.3370 0.9701 0.2677
6 Er 0.6630 0.2976 0.2677
7 Er 0.1630 0.2024 0.7323
8 Er 0.8370 0.5299 0.7323
9 Er 0.6630 0.0299 0.7323
10 Er 0.3370 0.7024 0.7323
11 Sn 0.6374 0.8612 0.0000
12 Sn 0.3626 0.1388 0.0000
13 Sn 0.1374 0.6388 0.0000
14 Sn 0.8626 0.3612 0.0000
15 Te 0.0000 0.2025 0.4050
16 Te 0.5000 0.7025 0.4050
17 Te 0.0000 0.7975 0.5950
18 Te 0.5000 0.2975 0.5950

(7)
Computed, not measured: Er3SnTe6 after structural relaxation at the GGA-PBE level of DFT.

Calculated values
V, Å³ per cell: 668.1
Symmetry: Cmc2_1, No. 36
ΔE_f (raw), eV per atom: -0.999
Spin magnetization, Bohr magnetons per cell: 0.00

abc: 7.4453 9.5851 9.5851
angles: 102.40 90.00 90.00
Positions (direct):
1 Er 0.4810 0.9126 0.7186
2 Er 0.9810 0.7186 0.9126
3 Er 0.3805 0.4075 0.5925
4 Er 0.8805 0.5925 0.4075
5 Er 0.9810 0.0874 0.2814
6 Er 0.4810 0.2814 0.0874
7 Sn 0.0163 0.2041 0.7959
8 Sn 0.5163 0.7959 0.2041
9 Te 0.1772 0.7001 0.6262
10 Te 0.6772 0.6262 0.7001
11 Te 0.2319 0.4567 0.9066
12 Te 0.7319 0.9066 0.4567
13 Te 0.1945 0.0274 0.9726
14 Te 0.6137 0.2231 0.7769
15 Te 0.1137 0.7769 0.2231
16 Te 0.6945 0.9726 0.0274
17 Te 0.2319 0.0934 0.5433
18 Te 0.7319 0.5433 0.0934
19 Te 0.1772 0.3738 0.2999
20 Te 0.6772 0.2999 0.3738

(8)
Computed, not measured: Er5Sn2Te2 after structural relaxation at the GGA-PBE level of DFT.

Calculated values
V, Å³ per cell: 526.5
Symmetry: Ima2, No. 46
Energy relative to the lowest polymorph listed for this composition, kJ/mol of formula units: 194
ΔE_f (raw), eV per atom: -0.705
Spin magnetization, Bohr magnetons per cell: 0.01

abc: 7.6193 8.1393 10.1563
angles: 113.62 112.03 90.00
Positions (direct):
1 Er 0.2225 0.6796 0.8835
2 Er 0.7775 0.7961 0.1165
3 Er 0.1610 0.1796 0.8835
4 Er 0.8390 0.2961 0.1165
5 Er 0.2968 0.0003 0.3089
6 Er 0.7032 0.6913 0.6911
7 Er 0.5121 0.5003 0.3089
8 Er 0.4879 0.1913 0.6911
9 Er 0.0899 0.7597 0.5000
10 Er 0.9101 0.2597 0.5000
11 Sn 0.1302 0.5996 0.1697
12 Sn 0.8698 0.4300 0.8303
13 Sn 0.5395 0.0996 0.1697
14 Sn 0.4605 0.9300 0.8303
15 Te 0.0000 0.9659 0.0000
16 Te 0.5000 0.4659 0.0000
17 Te 0.2850 0.4134 0.5000
18 Te 0.7150 0.9134 0.5000

(9)
Computed, not measured: Er3Sn5Te12 after structural relaxation at the GGA-PBE level of DFT.

Calculated values
V, Å³ per cell: 2877.9
Symmetry: Ia-3d, No. 230
ΔE_f (raw), eV per atom: -0.509
Spin magnetization, Bohr magnetons per cell: 0.00

abc: 15.5202 15.5202 15.5202
angles: 109.47 109.47 109.47
Positions (direct):
1 Er 0.7500 0.3750 0.1250
2 Er 0.8750 0.7500 0.1250
3 Er 0.3750 0.7500 0.6250
4 Er 0.2500 0.1250 0.3750
5 Er 0.8750 0.1250 0.2500
6 Er 0.3750 0.6250 0.2500
7 Er 0.6250 0.3750 0.7500
8 Er 0.1250 0.8750 0.7500
9 Er 0.7500 0.8750 0.6250
10 Er 0.6250 0.2500 0.3750
11 Er 0.1250 0.2500 0.8750
12 Er 0.2500 0.6250 0.8750
13 Sn 0.1250 0.3750 0.2500
14 Sn 0.0000 0.5000 0.0000
15 Sn 0.0000 0.0000 0.0000
16 Sn 0.3750 0.2500 0.1250
17 Sn 0.5000 0.0000 0.5000
18 Sn 0.5000 0.5000 0.0000
19 Sn 0.1250 0.7500 0.3750
20 Sn 0.7500 0.1250 0.8750
21 Sn 0.7500 0.6250 0.3750
22 Sn 0.3750 0.1250 0.7500
23 Sn 0.6250 0.8750 0.2500
24 Sn 0.5000 0.5000 0.5000
25 Sn 0.5000 0.0000 0.0000
26 Sn 0.0000 0.0000 0.5000
27 Sn 0.2500 0.3750 0.6250
28 Sn 0.2500 0.8750 0.1250
29 Sn 0.0000 0.5000 0.5000
30 Sn 0.8750 0.2500 0.6250
31 Sn 0.6250 0.7500 0.8750
32 Sn 0.8750 0.6250 0.7500
33 Te 0.7249 0.1397 0.0538
34 Te 0.3289 0.5538 0.4141
35 Te 0.9462 0.3603 0.2751
36 Te 0.5538 0.2249 0.1397
37 Te 0.5852 0.7249 0.6711
38 Te 0.9462 0.5859 0.1711
39 Te 0.3289 0.7751 0.4148
40 Te 0.0859 0.9148 0.1397
41 Te 0.5859 0.9462 0.6711
42 Te 0.7249 0.5852 0.1711
43 Te 0.7751 0.4462 0.3603
44 Te 0.8289 0.9141 0.0538
45 Te 0.1397 0.7249 0.5538
46 Te 0.3603 0.4141 0.0852
47 Te 0.0852 0.9141 0.3603
48 Te 0.4148 0.1397 0.5859
49 Te 0.0852 0.1711 0.2249
50 Te 0.4462 0.6711 0.0859
51 Te 0.8289 0.9148 0.2751
52 Te 0.1397 0.4148 0.0859
53 Te 0.3603 0.9462 0.7751
54 Te 0.5859 0.6397 0.4148
55 Te 0.9141 0.8289 0.5538
56 Te 0.7751 0.3289 0.9148
57 Te 0.4141 0.3603 0.5852
58 Te 0.0859 0.1711 0.4462
59 Te 0.2249 0.6711 0.0852
60 Te 0.1711 0.0852 0.7249
61 Te 0.6397 0.0538 0.2249
62 Te 0.8603 0.5852 0.9141
63 Te 0.5538 0.3289 0.9141
64 Te 0.5852 0.8603 0.4141
65 Te 0.9148 0.8289 0.7751
66 Te 0.9148 0.0859 0.6397
67 Te 0.8603 0.2751 0.4462
68 Te 0.1711 0.0859 0.9462
69 Te 0.6397 0.5859 0.9148
70 Te 0.4141 0.0538 0.3289
71 Te 0.2751 0.4148 0.8289
72 Te 0.2249 0.5538 0.6397
73 Te 0.9141 0.0852 0.8603
74 Te 0.6711 0.2249 0.5852
75 Te 0.4462 0.7751 0.8603
76 Te 0.0538 0.4141 0.8289
77 Te 0.4148 0.2751 0.3289
78 Te 0.0538 0.6397 0.7249
79 Te 0.6711 0.4462 0.5859
80 Te 0.2751 0.8603 0.9462

(10)
Computed, not measured: Er5SnTe4 after structural relaxation at the GGA-PBE level of DFT.

Calculated values
V, Å³ per cell: 288.5
Symmetry: I4/m, No. 87
ΔE_f (raw), eV per atom: -1.164
Spin magnetization, Bohr magnetons per cell: 0.00

abc: 6.1116 7.5195 7.5195
angles: 80.49 66.02 66.02
Positions (direct):
1 Er 0.9008 0.3897 0.8104
2 Er 0.2906 0.8104 0.6103
3 Er 0.7112 0.1896 0.3897
4 Er 0.1010 0.6103 0.1896
5 Er 0.5015 0.0000 0.0000
6 Sn 0.0014 0.0000 0.0000
7 Te 0.4049 0.3995 0.7926
8 Te 0.8044 0.7926 0.6005
9 Te 0.1975 0.2074 0.3995
10 Te 0.5970 0.6005 0.2074

(11)
Computed, not measured: Er2SnTe after structural relaxation at the GGA-PBE level of DFT.

Calculated values
V, Å³ per cell: 479.7
Symmetry: Pnma, No. 62
Energy relative to the lowest polymorph listed for this composition, kJ/mol of formula units: 22
ΔE_f (raw), eV per atom: -0.959
Spin magnetization, Bohr magnetons per cell: 0.00

abc: 4.2237 7.6076 14.9286
angles: 90.00 90.00 90.00
Positions (direct):
1 Er 0.7500 0.2880 0.5061
2 Er 0.2500 0.7120 0.4939
3 Er 0.7500 0.7880 0.9939
4 Er 0.2500 0.2120 0.0061
5 Er 0.7500 0.1590 0.7563
6 Er 0.2500 0.3410 0.2563
7 Er 0.7500 0.6590 0.7437
8 Er 0.2500 0.8410 0.2437
9 Sn 0.7500 0.0854 0.1483
10 Sn 0.2500 0.9146 0.8517
11 Sn 0.7500 0.5854 0.3517
12 Sn 0.2500 0.4146 0.6483
13 Te 0.2500 0.5801 0.0966
14 Te 0.2500 0.0801 0.4034
15 Te 0.7500 0.4199 0.9034
16 Te 0.7500 0.9199 0.5966

(12)
Computed, not measured: Er5SnTe5 after structural relaxation at the GGA-PBE level of DFT.

Calculated values
V, Å³ per cell: 343.7
Symmetry: C2/m, No. 12
ΔE_f (raw), eV per atom: -1.253
Spin magnetization, Bohr magnetons per cell: 0.00

abc: 6.1266 7.5010 8.6334
angles: 106.74 90.00 114.10
Positions (direct):
1 Er 0.8380 0.6759 0.1679
2 Er 0.8382 0.6763 0.6705
3 Er 0.5000 0.0000 0.0000
4 Er 0.1618 0.3237 0.3295
5 Er 0.1620 0.3241 0.8321
6 Sn 0.0000 0.0000 0.0000
7 Te 0.6672 0.3344 0.3370
8 Te 0.6662 0.3324 0.8297
9 Te 0.0000 0.0000 0.5000
10 Te 0.3338 0.6676 0.1703
11 Te 0.3328 0.6656 0.6630

(13)
Computed, not measured: ErSn3Te6 after structural relaxation at the GGA-PBE level of DFT.

Calculated values
V, Å³ per cell: 655.7
Symmetry: P2_1/m, No. 11
ΔE_f (raw), eV per atom: -0.454
Spin magnetization, Bohr magnetons per cell: 0.00

abc: 4.2908 13.0202 12.6978
angles: 112.44 90.00 90.00
Positions (direct):
1 Er 0.7500 0.0486 0.7042
2 Er 0.2500 0.9514 0.2958
3 Sn 0.7500 0.4553 0.8429
4 Sn 0.2500 0.5447 0.1571
5 Sn 0.7500 0.7069 0.4521
6 Sn 0.2500 0.2931 0.5479
7 Sn 0.7500 0.1635 0.1131
8 Sn 0.2500 0.8365 0.8869
9 Te 0.7500 0.4660 0.6090
10 Te 0.2500 0.5340 0.3910
11 Te 0.7500 0.9288 0.1019
12 Te 0.2500 0.0712 0.8981
13 Te 0.7500 0.3755 0.0567
14 Te 0.2500 0.6245 0.9433
15 Te 0.7500 0.7602 0.2453
16 Te 0.2500 0.2398 0.7547
17 Te 0.7500 0.0956 0.4749
18 Te 0.2500 0.9044 0.5251
19 Te 0.7500 0.8046 0.7145
20 Te 0.2500 0.1954 0.2855

(14)
Computed, not measured: Er2SnTe after structural relaxation at the GGA-PBE level of DFT.

Calculated values
V, Å³ per cell: 106.4
Symmetry: P4/mmm, No. 123
Energy relative to the lowest polymorph listed for this composition, kJ/mol of formula units: 80
ΔE_f (raw), eV per atom: -0.808
Spin magnetization, Bohr magnetons per cell: 0.00

abc: 3.6448 3.6448 8.0106
angles: 90.00 90.00 90.00
Positions (direct):
1 Te 0.5000 0.5000 0.5000
2 Sn 0.5000 0.5000 0.0000
3 Er 0.0000 0.0000 0.7425
4 Er 0.0000 0.0000 0.2575

(15)
Computed, not measured: Er4SnTe after structural relaxation at the GGA-PBE level of DFT.

Calculated values
V, Å³ per cell: 375.0
Symmetry: P-1, No. 2
ΔE_f (raw), eV per atom: -0.437
Spin magnetization, Bohr magnetons per cell: 0.00

abc: 6.3161 7.3870 8.8810
angles: 103.56 110.80 89.91
Positions (direct):
1 Er 0.5266 0.0530 0.8479
2 Er 0.6796 0.4473 0.1517
3 Er 0.4734 0.9470 0.1521
4 Er 0.3204 0.5527 0.8483
5 Er 0.9616 0.8733 0.7233
6 Er 0.2384 0.6274 0.2770
7 Er 0.0384 0.1267 0.2767
8 Er 0.7617 0.3726 0.7230
9 Sn 0.8476 0.7497 0.9994
10 Sn 0.1524 0.2503 0.0006
11 Te 0.5000 0.0000 0.5000
12 Te 0.0000 0.5000 0.5000

(16)
Computed, not measured: ErSn2Te4 after structural relaxation at the GGA-PBE level of DFT.

Calculated values
V, Å³ per cell: 458.9
Symmetry: Cmcm, No. 63
ΔE_f (raw), eV per atom: -0.565
Spin magnetization, Bohr magnetons per cell: 0.00

abc: 4.2848 7.6170 14.6516
angles: 90.00 90.00 106.34
Positions (direct):
1 Er 0.6087 0.2174 0.7500
2 Er 0.3913 0.7826 0.2500
3 Sn 0.1351 0.2702 0.4361
4 Sn 0.8649 0.7298 0.9361
5 Sn 0.1351 0.2702 0.0639
6 Sn 0.8649 0.7298 0.5639
7 Te 0.7852 0.5703 0.1314
8 Te 0.7852 0.5703 0.3686
9 Te 0.2148 0.4297 0.8686
10 Te 0.2148 0.4297 0.6314
11 Te 0.9604 0.9207 0.7500
12 Te 0.0396 0.0793 0.2500
13 Te 0.5000 0.0000 0.0000
14 Te 0.5000 0.0000 0.5000